Material: CaSm2DyHg4
Method: DFT, PBE-GGA
State: relaxed

Its total magnetization is 0.00 μB/f.u. The calculation puts the formation energy at -4.10 eV/f.u. The value obtained for the electronic total energy is -0.0981 hartree per atom.

The space group is R-3m (No. 166, hexagonal axes) and the conventional cell measures 5.3325, 5.3325 and 26.1017 Å, with angles of 90.00, 90.00 and 120.00 degrees. The asymmetric unit holds Ca at (0.0000, 0.0000, 0.0000), Sm at (0.0000, 0.0000, 0.2516), Dy at (0.0000, 0.0000, 0.5000), Hg at (0.0000, 0.0000, 0.1266) and Hg at (0.0000, 0.0000, 0.3767).

Material: SrCaDy2Hg4
Method: DFT, PBE-GGA
State: relaxed

Its total magnetization is 0.00 μB/f.u. The calculation puts the formation energy at -3.89 eV/f.u. The value obtained for the electronic total energy is -0.0826 hartree per atom.

The space group is R-3m (No. 166, hexagonal axes) and the conventional cell measures 5.3524, 5.3524 and 26.4041 Å, with angles of 90.00, 90.00 and 120.00 degrees. The asymmetric unit holds Sr at (0.0000, 0.0000, 0.0000), Ca at (0.0000, 0.0000, 0.5000), Dy at (0.0000, 0.0000, 0.2481), Hg at (0.0000, 0.0000, 0.1266) and Hg at (0.0000, 0.0000, 0.3782).

Material: SrCa2DyHg4
Method: DFT, PBE-GGA
State: relaxed

Its total magnetization is 0.00 μB/f.u. The calculation puts the formation energy at -4.19 eV/f.u. The value obtained for the electronic total energy is -0.0720 hartree per atom.

The space group is R-3m (No. 166, hexagonal axes) and the conventional cell measures 5.3862, 5.3862 and 26.5831 Å, with angles of 90.00, 90.00 and 120.00 degrees. The asymmetric unit holds Sr at (0.0000, 0.0000, 0.0000), Ca at (0.0000, 0.0000, 0.2494), Dy at (0.0000, 0.0000, 0.5000), Hg at (0.0000, 0.0000, 0.1286) and Hg at (0.0000, 0.0000, 0.3798).

Material: CaTb2DyHg4
Method: DFT, PBE-GGA
State: relaxed

Its total magnetization is 0.00 μB/f.u. The calculation puts the formation energy at -4.11 eV/f.u. The value obtained for the electronic total energy is -0.0973 hartree per atom.

The space group is R-3m (No. 166, hexagonal axes) and the conventional cell measures 5.2818, 5.2818 and 25.8981 Å, with angles of 90.00, 90.00 and 120.00 degrees. The asymmetric unit holds Ca at (0.0000, 0.0000, 0.0000), Tb at (0.0000, 0.0000, 0.2514), Dy at (0.0000, 0.0000, 0.5000), Hg at (0.0000, 0.0000, 0.1263) and Hg at (0.0000, 0.0000, 0.3765).

Material: CaDyTlHg
Method: DFT, PBE-GGA
State: relaxed

Its total magnetization is 0.00 μB/f.u. The calculation puts the formation energy at -1.86 eV/f.u. The value obtained for the electronic total energy is -0.1023 hartree per atom.

The space group is F-43m (No. 216) and the conventional cell measures 7.5759, 7.5759 and 7.5759 Å, with angles of 90.00, 90.00 and 90.00 degrees. The asymmetric unit holds Ca at (0.0000, 0.0000, 0.0000), Dy at (0.0000, 0.0000, 0.5000), Tl at (0.2500, 0.2500, 0.7500) and Hg at (0.2500, 0.2500, 0.2500).

Material: CaDy2TlHg4
Method: DFT, PBE-GGA
State: relaxed

Its total magnetization is 0.00 μB/f.u. The calculation puts the formation energy at -3.24 eV/f.u. The value obtained for the electronic total energy is -0.0828 hartree per atom.

The space group is R-3m (No. 166, hexagonal axes) and the conventional cell measures 5.2161, 5.2161 and 26.0705 Å, with angles of 90.00, 90.00 and 120.00 degrees. The asymmetric unit holds Ca at (0.0000, 0.0000, 0.0000), Dy at (0.0000, 0.0000, 0.2443), Tl at (0.0000, 0.0000, 0.5000), Hg at (0.0000, 0.0000, 0.1202) and Hg at (0.0000, 0.0000, 0.3683).

Material: CaDyY2Hg4
Method: DFT, PBE-GGA
State: relaxed

Its total magnetization is 0.00 μB/f.u. The calculation puts the formation energy at -4.19 eV/f.u. The value obtained for the electronic total energy is -0.1145 hartree per atom.

The space group is R-3m (No. 166, hexagonal axes) and the conventional cell measures 5.2753, 5.2753 and 25.8727 Å, with angles of 90.00, 90.00 and 120.00 degrees. The asymmetric unit holds Ca at (0.0000, 0.0000, 0.0000), Dy at (0.0000, 0.0000, 0.5000), Y at (0.0000, 0.0000, 0.2515), Hg at (0.0000, 0.0000, 0.1264) and Hg at (0.0000, 0.0000, 0.3766).

Material: CaDy2YHg4
Method: DFT, PBE-GGA
State: relaxed

Its total magnetization is 0.00 μB/f.u. The calculation puts the formation energy at -4.15 eV/f.u. The value obtained for the electronic total energy is -0.1058 hartree per atom.

The space group is R-3m (No. 166, hexagonal axes) and the conventional cell measures 5.2718, 5.2718 and 25.8568 Å, with angles of 90.00, 90.00 and 120.00 degrees. The asymmetric unit holds Ca at (0.0000, 0.0000, 0.0000), Dy at (0.0000, 0.0000, 0.2514), Y at (0.0000, 0.0000, 0.5000), Hg at (0.0000, 0.0000, 0.1260) and Hg at (0.0000, 0.0000, 0.3762).

Material: CaDy5Ho12
Method: DFT, PBE-GGA
State: relaxed

Its total magnetization is 0.00 μB/f.u. The calculation puts the formation energy at 0.72 eV/f.u. The value obtained for the electronic total energy is -0.1617 hartree per atom.

The space group is C2/m (No. 12) and the conventional cell measures 18.3976, 10.6342 and 6.1353 Å, with angles of 90.00, 109.29 and 90.00 degrees. The asymmetric unit holds Ca at (0.0000, 0.0000, 0.0000), Dy at (0.0000, 0.5000, 0.5000), Dy at (0.1669, 0.5000, 0.9963), Dy at (0.1689, 0.0000, 0.5100), Ho at (0.0000, 0.1720, 0.5000), Ho at (0.0000, 0.3380, 0.0000), Ho at (0.1663, 0.3327, 0.4986) and Ho at (0.1691, 0.1686, 0.0006).

Material: CaDy15Ho4
Method: DFT, PBE-GGA
State: relaxed

Its total magnetization is 0.00 μB/f.u. The calculation puts the formation energy at 0.76 eV/f.u. The value obtained for the electronic total energy is -0.1628 hartree per atom.

The space group is P4/mmm (No. 123) and the conventional cell measures 5.0199, 5.0199 and 25.1462 Å, with angles of 90.00, 90.00 and 90.00 degrees. The asymmetric unit holds Ca at (0.0000, 0.0000, 0.0000), Dy at (0.0000, 0.5000, 0.1046), Dy at (0.0000, 0.5000, 0.3018), Dy at (0.0000, 0.5000, 0.5000), Dy at (0.5000, 0.5000, 0.0000), Dy at (0.5000, 0.5000, 0.2012), Dy at (0.5000, 0.5000, 0.4006), Ho at (0.0000, 0.0000, 0.2016) and Ho at (0.0000, 0.0000, 0.4007).

Material: CaDy5Ho4
Method: DFT, PBE-GGA
State: relaxed

Its total magnetization is 0.00 μB/f.u. The calculation puts the formation energy at 0.40 eV/f.u. The value obtained for the electronic total energy is -0.1578 hartree per atom.

The space group is P4/mmm (No. 123) and the conventional cell measures 3.5562, 3.5562 and 25.3730 Å, with angles of 90.00, 90.00 and 90.00 degrees. The asymmetric unit holds Ca at (0.0000, 0.0000, 0.0000), Dy at (0.5000, 0.5000, 0.1110), Dy at (0.5000, 0.5000, 0.3045), Dy at (0.5000, 0.5000, 0.5000), Ho at (0.0000, 0.0000, 0.2053) and Ho at (0.0000, 0.0000, 0.4019).

Material: CaDy8Ho4
Method: DFT, PBE-GGA
State: relaxed

Its total magnetization is 0.00 μB/f.u. The calculation puts the formation energy at 0.64 eV/f.u. The value obtained for the electronic total energy is -0.1597 hartree per atom.

The space group is C2/m (No. 12) and the conventional cell measures 11.2472, 5.0251 and 14.6612 Å, with angles of 90.00, 94.35 and 90.00 degrees. The asymmetric unit holds Ca at (0.0000, 0.0000, 0.0000), Dy at (0.0382, 0.5000, 0.3857), Dy at (0.0768, 0.0000, 0.7648), Dy at (0.1930, 0.5000, 0.9187), Dy at (0.2325, 0.0000, 0.3090), Ho at (0.1211, 0.5000, 0.1599) and Ho at (0.1534, 0.0000, 0.5380).